# La2Zn3Ge4

A geometry-optimized La2Zn3Ge4 structure (PBE, the Alexandria database).

Structure (CIF):
```
data_La2Zn3Ge4
_space_group_name_H-M_alt 'C m c e'
_space_group_IT_number 64
_space_group_name_Hall '-C 2ac 2'
_cell_length_a 5.9534
_cell_length_b 15.5886
_cell_length_c 7.9947
_cell_angle_alpha 90.00
_cell_angle_beta 90.00
_cell_angle_gamma 90.00
loop_
_atom_site_label
_atom_site_type_symbol
_atom_site_fract_x
_atom_site_fract_y
_atom_site_fract_z
_atom_site_occupancy
La1 La 0.0000 0.1158 0.0822 1
Zn1 Zn 0.0000 0.0000 0.5000 1
Zn2 Zn 0.2500 0.2132 0.7500 1
Ge1 Ge 0.0000 0.1891 0.4521 1
Ge2 Ge 0.2500 0.0494 0.7500 1
```

total magnetization: 0.0 Bohr magnetons per cell

=====

# LaZn3Ge3

A geometry-optimized LaZn3Ge3 structure (PBE, the Alexandria database).

Structure (CIF):
```
data_LaZn3Ge3
_space_group_name_H-M_alt 'P m -3 n'
_space_group_IT_number 223
_space_group_name_Hall '-P 4n 2 3'
_cell_length_a 6.8539
_cell_length_b 6.8539
_cell_length_c 6.8539
_cell_angle_alpha 90.00
_cell_angle_beta 90.00
_cell_angle_gamma 90.00
loop_
_atom_site_label
_atom_site_type_symbol
_atom_site_fract_x
_atom_site_fract_y
_atom_site_fract_z
_atom_site_occupancy
La1 La 0.0000 0.0000 0.0000 1
Zn1 Zn 0.0000 0.2500 0.5000 1
Ge1 Ge 0.0000 0.5000 0.2500 1
```

total magnetization: 0.0 Bohr magnetons per cell

=====

# LaZn11Ge

A geometry-optimized LaZn11Ge structure (PBE, the Alexandria database).

Structure (CIF):
```
data_LaZn11Ge
_space_group_name_H-M_alt 'C 1 2/m 1'
_space_group_IT_number 12
_cell_length_a 5.3120
_cell_length_b 12.9462
_cell_length_c 6.8152
_cell_angle_alpha 90.00
_cell_angle_beta 111.60
_cell_angle_gamma 90.00
loop_
_space_group_symop_operation_xyz
'x,y,z'
'-x,-y,-z'
'-x,y,-z'
'x,-y,z'
'x+1/2,y+1/2,z'
'-x+1/2,-y+1/2,-z'
'-x+1/2,y+1/2,-z'
'x+1/2,-y+1/2,z'
loop_
_atom_site_label
_atom_site_type_symbol
_atom_site_fract_x
_atom_site_fract_y
_atom_site_fract_z
_atom_site_occupancy
La1 La 0.0000 0.0000 0.0000 1
Zn1 Zn 0.0000 0.5000 0.5000 1
Zn2 Zn 0.0980 0.3890 0.2155 1
Zn3 Zn 0.1847 0.1816 0.3541 1
Zn4 Zn 0.2500 0.2500 0.0000 1
Ge1 Ge 0.0000 0.0000 0.5000 1
```

total magnetization: 0.0 Bohr magnetons per cell

=====

# LaZn2Ge2

A geometry-optimized LaZn2Ge2 structure (PBE, the Alexandria database).

Structure (CIF):
```
data_LaZn2Ge2
_space_group_name_H-M_alt 'P 4/m b m'
_space_group_IT_number 127
_space_group_name_Hall '-P 4 2ab'
_cell_length_a 7.8501
_cell_length_b 7.8501
_cell_length_c 3.2983
_cell_angle_alpha 90.00
_cell_angle_beta 90.00
_cell_angle_gamma 90.00
loop_
_atom_site_label
_atom_site_type_symbol
_atom_site_fract_x
_atom_site_fract_y
_atom_site_fract_z
_atom_site_occupancy
La1 La 0.0000 0.0000 0.0000 1
Zn1 Zn 0.1158 0.3842 0.0000 1
Ge1 Ge 0.1779 0.6779 0.5000 1
```

total magnetization: 0.0 Bohr magnetons per cell

=====

no.,DFT formation energy (eV/atom)
1,-0.468
2,-0.005
3,-0.146
4,-0.224